PBE La4Sm2YHo2, relaxed; DFT formation energy = 0.26 eV per formula unit; total magnetization = 0.0 μB/f.u.; symmetry = C2/m
1.0
7.7718 -2.5968 0.0000
7.7718 2.5968 0.0000
-2.5879 0.0000 7.6914
La Sm Y Ho
4 2 1 2
direct
0.0543 0.0543 0.3303
0.2763 0.2763 0.6687
0.7237 0.7237 0.3313
0.9457 0.9457 0.6697
0.3878 0.3878 0.3296
0.6122 0.6122 0.6704
0.5000 0.5000 0.0000
0.1676 0.1676 0.9998
0.8324 0.8324 0.0002